1.
Ti2GaSiAs: relaxed, PBE.

The structure in CIF format:
```
data_Ti2GaSiAs
_space_group_name_H-M_alt 'P 1'
_space_group_IT_number 1
_cell_length_a 4.706
_cell_length_b 4.691
_cell_length_c 4.706
_cell_angle_alpha 90.00
_cell_angle_beta 90.00
_cell_angle_gamma 90.00
loop_
_space_group_symop_operation_xyz
'x,y,z'
loop_
_atom_site_label
_atom_site_type_symbol
_atom_site_fract_x
_atom_site_fract_y
_atom_site_fract_z
As1 As 0.000 0.500 0.000
Si1 Si 0.000 0.000 0.000
Ga1 Ga 0.500 0.500 0.500
Ti1 Ti 0.000 0.000 0.500
Ti2 Ti 0.500 0.000 0.000
```

Volume ... 103.9 Å³/cell
VASP energy ... -0.3947 Ry/atom
Space group ... P4/mmm, No. 123
Uncorrected formation energy ... 0.407 eV/atom

=====

2.
GaSiAsW2: relaxed, PBE.

The structure in CIF format:
```
data_GaSiAsW2
_space_group_name_H-M_alt 'P 1'
_space_group_IT_number 1
_cell_length_a 4.628
_cell_length_b 4.560
_cell_length_c 4.628
_cell_angle_alpha 90.00
_cell_angle_beta 90.00
_cell_angle_gamma 90.00
loop_
_space_group_symop_operation_xyz
'x,y,z'
loop_
_atom_site_label
_atom_site_type_symbol
_atom_site_fract_x
_atom_site_fract_y
_atom_site_fract_z
As1 As 0.000 0.500 0.000
Si1 Si 0.000 0.000 0.000
Ga1 Ga 0.500 0.500 0.500
W1 W 0.000 0.000 0.500
W2 W 0.500 0.000 0.000
```

Volume ... 97.7 Å³/cell
VASP energy ... -0.4715 Ry/atom
Space group ... P4/mmm, No. 123
Uncorrected formation energy ... 1.386 eV/atom